DFT (PBE) results for a relaxed RbTlAgBr4 crystal.

a b c (Å): 8.393 6.426 9.773
angles (deg): 90.00 107.89 90.00
Positions (direct):
Rb 0.247 0.250 0.428
Rb 0.753 0.750 0.572
Tl 0.189 0.250 0.926
Tl 0.811 0.750 0.074
Ag 0.245 0.750 0.690
Ag 0.755 0.250 0.310
Br 0.079 0.750 0.887
Br 0.080 0.750 0.410
Br 0.499 0.017 0.763
Br 0.499 0.483 0.763
Br 0.501 0.517 0.237
Br 0.501 0.983 0.237
Br 0.920 0.250 0.590
Br 0.921 0.250 0.113

For the uncorrected formation energy, the calculation gives -0.810 eV per atom. The calculation puts the total DFT energy (no corrections) at -2.650 eV/atom.

=====

DFT (PBE) results for a relaxed ErHf2In crystal.

a b c (Å): 4.521 4.521 4.556
angles (deg): 90.00 90.00 90.00
Positions (direct):
Er 0.000 0.000 0.000
Hf 0.000 0.500 0.500
Hf 0.500 0.000 0.500
In 0.500 0.500 0.000

The energy above the lowest structure with this stoichiometry is 0 meV/atom. The calculation puts the total DFT energy (no corrections) at -6.898 eV/atom. For the energy of formation, the calculation gives -96 meV per atom.

=====

DFT (PBE) results for a relaxed Ca2TlCl crystal.

a b c (Å): 8.905 8.905 8.905
angles (deg): 25.92 25.92 25.92
Positions (direct):
Ca 0.000 0.000 0.000
Ca 0.163 0.163 0.163
Tl 0.581 0.581 0.581
Cl 0.411 0.411 0.411

The energy above the lowest structure with this stoichiometry is 80 meV/atom. For the uncorrected formation energy, the calculation gives -0.975 eV per atom. The calculation puts the total DFT energy (no corrections) at -3.029 eV/atom.

=====

DFT (PBE) results for a relaxed PPb5 crystal.

a b c (Å): 6.424 6.424 6.424
angles (deg): 60.00 60.00 60.00
Positions (direct):
P 0.000 0.000 0.000
Pb 0.375 0.375 0.375
Pb 0.375 0.375 0.875
Pb 0.375 0.875 0.375
Pb 0.750 0.750 0.750
Pb 0.875 0.375 0.375

The energy above the lowest structure with this stoichiometry is 356 meV/atom. The calculation puts the total DFT energy (no corrections) at -3.529 eV/atom. For the energy of formation, the calculation gives 463 meV per atom.

=====

DFT (PBE) results for a relaxed Ta2MnMo crystal.

a b c (Å): 4.474 3.151 8.909
angles (deg): 90.00 90.00 90.00
Positions (direct):
Ta 0.250 0.000 0.116
Ta 0.250 0.000 0.633
Ta 0.750 0.000 0.367
Ta 0.750 0.000 0.884
Mn 0.250 0.500 0.881
Mn 0.750 0.500 0.119
Mo 0.250 0.500 0.370
Mo 0.750 0.500 0.630

The calculation puts the total DFT energy (no corrections) at -11.113 eV/atom. For the energy of formation, the calculation gives -187 meV per atom.

=====

DFT (PBE) results for a relaxed Rb2Mn3Se4 crystal.

a b c (Å): 9.847 9.847 9.847
angles (deg): 143.00 105.11 86.60
Positions (direct):
Rb 0.122 0.237 0.359
Rb 0.378 0.737 0.115
Rb 0.622 0.263 0.885
Rb 0.878 0.763 0.641
Mn 0.021 0.250 0.771
Mn 0.250 0.750 0.500
Mn 0.479 0.250 0.229
Mn 0.521 0.750 0.771
Mn 0.750 0.250 0.500
Mn 0.979 0.750 0.229
Se 0.014 0.426 0.146
Se 0.220 0.074 0.588
Se 0.280 0.868 0.854
Se 0.486 0.632 0.412
Se 0.514 0.368 0.588
Se 0.720 0.132 0.146
Se 0.780 0.926 0.412
Se 0.986 0.574 0.854

For the uncorrected formation energy, the calculation gives -0.716 eV per atom. The calculation puts the total DFT energy (no corrections) at -5.536 eV/atom.

=====

DFT (PBE) results for a relaxed BaSm2Cd2In2 crystal.

a b c (Å): 10.439 10.439 10.439
angles (deg): 28.05 28.05 28.05
Positions (direct):
Ba 0.000 0.000 0.000
Sm 0.132 0.132 0.132
Sm 0.868 0.868 0.868
Cd 0.422 0.422 0.422
Cd 0.578 0.578 0.578
In 0.250 0.250 0.250
In 0.750 0.750 0.750

The calculation puts the total DFT energy (no corrections) at -2.990 eV/atom. For the energy of formation, the calculation gives -324 meV per atom.

=====

DFT (PBE) results for a relaxed SrLiInRu2 crystal.

a b c (Å): 5.025 5.025 5.928
angles (deg): 90.00 90.00 90.00
Positions (direct):
Sr 0.000 0.000 0.000
Li 0.500 0.500 0.500
In 0.000 0.000 0.500
Ru 0.000 0.500 0.000
Ru 0.500 0.000 0.000

The calculation puts the total DFT energy (no corrections) at -3.170 eV/atom. For the energy of formation, the calculation gives 1808 meV per atom.